This record from OQMD via LeMat-Bulk describes crystalline Sr2YIrO6 at its relaxed geometry. The functional is GGA-PBE.

Unit cell a=5.7727 b=5.8096 c=8.1872 alpha=90.00 beta=90.27 gamma=90.00
Closest atoms and distances in Å follow each position.
Element x y z (fractional)
Ir 0.5000 0.0000 0.0000  6 O 1.98
Ir 0.0000 0.5000 0.5000  6 O 1.98
O 0.7736 0.8021 0.0382  1 Ir 1.98, 1 Y 2.21
O 0.6947 0.2749 0.0402  1 Ir 1.98
O 0.4255 0.9832 0.2353  1 Ir 1.98, 1 Y 2.21
O 0.0745 0.4832 0.2647  1 Ir 1.98, 1 Y 2.21
O 0.8053 0.7749 0.4598  1 Ir 1.98
O 0.7264 0.3021 0.4618  1 Ir 1.98, 1 Y 2.21
O 0.2736 0.6979 0.5382  1 Ir 1.98, 1 Y 2.21
O 0.1947 0.2251 0.5402  1 Ir 1.98
O 0.9255 0.5168 0.7353  1 Ir 1.98, 1 Y 2.21
O 0.5745 0.0168 0.7647  1 Ir 1.98, 1 Y 2.21
O 0.3053 0.7251 0.9598  1 Ir 1.98
O 0.2264 0.1979 0.9618  1 Ir 1.98, 1 Y 2.21
Sr 0.5075 0.5366 0.2494  6 O 2.52-2.80
Sr 0.9925 0.0366 0.2506  6 O 2.52-2.80
Sr 0.0075 0.9634 0.7494  6 O 2.52-2.80
Sr 0.4925 0.4634 0.7506  6 O 2.52-2.80
Y 0.0000 0.5000 0.0000  6 O 2.21-2.22
Y 0.5000 0.0000 0.5000  6 O 2.21-2.22

Calculated values
energy above the most stable polymorph in this dataset: 0 meV per atom
E: -7.187 eV per atom
space-group type: No. 14

=====

This record from OQMD via LeMat-Bulk describes crystalline Cd2FeBi at its relaxed geometry. The functional is GGA-PBE.

Unit cell a=4.8520 b=4.8520 c=4.8520 alpha=60.00 beta=60.00 gamma=60.00
Closest atoms and distances in Å follow each position.
Element x y z (fractional)
Bi 0.5000 0.5000 0.5000  4 Fe 2.97, 4 Cd 2.97
Cd 0.0000 0.0000 0.0000  4 Cd 2.97, 4 Fe 2.97
Cd 0.7500 0.7500 0.7500  4 Cd 2.97, 4 Bi 2.97
Fe 0.2500 0.2500 0.2500  4 Cd 2.97, 4 Bi 2.97

Calculated values
E: -3.018 eV per atom
space-group type: No. 216

=====

This record from OQMD via LeMat-Bulk describes crystalline TlFeS2 at its relaxed geometry. The functional is GGA-PBE.

Unit cell a=6.5547 b=6.5547 c=5.1071 alpha=101.38 beta=101.38 gamma=116.11
Closest atoms and distances in Å follow each position.
Element x y z (fractional)
Fe 0.0011 0.9989 0.2500  4 S 2.13
Fe 0.9989 0.0011 0.7500  4 S 2.13
S 0.0832 0.2969 0.0984  2 Fe 2.13
S 0.7031 0.9168 0.4015  2 Fe 2.13
S 0.2969 0.0832 0.5984  2 Fe 2.13
S 0.9168 0.7031 0.9016  2 Fe 2.13
Tl 0.6434 0.3566 0.2500  8 S 3.24-3.42
Tl 0.3566 0.6434 0.7500  8 S 3.24-3.42

Calculated values
E: -5.098 eV per atom
space-group type: No. 15

=====

This record from OQMD via LeMat-Bulk describes crystalline GaHgAsO at its relaxed geometry. The functional is GGA-PBE.

Unit cell a=4.2647 b=4.2647 c=8.9489 alpha=90.00 beta=90.00 gamma=90.00
Closest atoms and distances in Å follow each position.
Element x y z (fractional)
As 0.0000 0.5000 0.3293  4 Ga 2.62
As 0.5000 0.0000 0.6707  4 Ga 2.62
Ga 0.0000 0.0000 0.5000  4 As 2.62
Ga 0.5000 0.5000 0.5000  4 As 2.62
Hg 0.5000 0.0000 0.0864  4 O 2.27
Hg 0.0000 0.5000 0.9136  4 O 2.27
O 0.0000 0.0000 0.0000  4 Hg 2.27
O 0.5000 0.5000 0.0000  4 Hg 2.27

Calculated values
energy above the most stable polymorph in this dataset: 573 meV per atom
E: -3.216 eV per atom
space-group type: No. 129

=====

Question: The lowest E belongs to which entry?
Answer: Sr2YIrO6

=====

Question: Which value of E does entry 2 give?
Answer: -3.018 eV per atom